Below is crystalline BeNbNiGe at its relaxed geometry, with properties calculated at the GGA-PBE level.

The total moment is 0.07 μB/cell. Its space group is F-43m, No. 216. The calculated volume is 13.20 Å³/atom. As for the crystal system: cubic. The calculation puts the polymorph energy (0 for the lowest one) at 0.0 meV/atom.

The structure in POSCAR format:
```
BeNbNiGe
1.0
0.000 2.978 2.978
2.978 0.000 2.978
2.978 2.978 0.000
Be Nb Ni Ge
1 1 1 1
Direct
0.000 0.000 0.000
0.250 0.250 0.250
0.750 0.750 0.750
0.500 0.500 0.500
```